MgNbPb after structural relaxation. Source: Alexandria, functional PBE.

Computed properties:
Formation energy, eV per atom: 0.32
Space-group type: Fmmm
Spin magnetization, μB per formula unit: 0.00
Uncorrected energy, eV per cell: -28.831
Volume, Å³ per atom: 23.24

Structure (POSCAR):
```
MgNbPb
1.0
-1.3825 -5.8309 1.3367
4.2041 -3.9188 1.3548
-1.0782 -1.8262 5.0200
Mg Nb Pb
2 2 2
direct
0.3346 0.0000 0.3308 Mg
0.6654 0.0000 0.6692 Mg
0.8809 0.2383 0.0000 Nb
0.1191 0.7617 0.0000 Nb
0.2500 0.5000 0.5000 Pb
0.7500 0.5000 0.5000 Pb
```

=====

MgNbPb after structural relaxation. Source: Alexandria, functional PBE.

Computed properties:
Formation energy, eV per atom: 0.17
Space-group type: C2
Spin magnetization, μB per formula unit: 0.00
Uncorrected energy, eV per cell: -59.485
Volume, Å³ per atom: 21.23

Structure (POSCAR):
```
MgNbPb
1.0
6.2806 0.0000 0.0108
0.0000 5.3534 0.0000
-5.0223 0.0000 7.5697
Pb Mg Nb
4 4 4
direct
0.5000 0.2308 0.5000 Pb
0.5000 0.7308 0.0000 Pb
0.0000 0.5248 0.0000 Pb
0.0000 0.0248 0.5000 Pb
0.5028 0.7149 0.3413 Mg
0.4972 0.7149 0.6587 Mg
0.4972 0.2149 0.1587 Mg
0.5028 0.2149 0.8413 Mg
0.9835 0.0290 0.8317 Nb
0.0165 0.5290 0.6683 Nb
0.9835 0.5290 0.3317 Nb
0.0165 0.0290 0.1683 Nb
```

=====

MgNbPb after structural relaxation. Source: Alexandria, functional PBE.

Computed properties:
Formation energy, eV per atom: 0.20
Space-group type: P1
Spin magnetization, μB per formula unit: 0.00
Uncorrected energy, eV per cell: -29.559
Volume, Å³ per atom: 22.06

Structure (POSCAR):
```
MgNbPb
1.0
-2.2809 1.8807 1.1182
-2.3061 -2.2980 -5.0746
-0.8054 -5.3164 5.3750
Mg Pb Nb
2 2 2
direct
0.8308 0.1634 0.7166 Mg
0.3293 0.8243 0.3660 Mg
0.5942 0.5578 0.0019 Pb
0.0963 0.3002 0.3652 Pb
0.3624 0.0147 0.0055 Nb
0.9120 0.6932 0.6763 Nb
```

=====

MgNbPb after structural relaxation. Source: Alexandria, functional PBE.

Computed properties:
Formation energy, eV per atom: 0.18
Space-group type: Amm2
Spin magnetization, μB per formula unit: 0.00
Uncorrected energy, eV per cell: -59.311
Volume, Å³ per atom: 21.19

Structure (POSCAR):
```
MgNbPb
1.0
-0.8397 -1.7528 -4.8884
-6.6645 -6.1495 3.3498
-3.5338 3.4805 -0.6410
Mg Nb Pb
4 4 4
direct
0.5000 0.6756 0.3221 Mg
0.5000 0.3244 0.3221 Mg
0.5000 0.8244 0.8221 Mg
0.5000 0.1756 0.8221 Mg
0.0000 0.1704 0.3266 Nb
0.0000 0.6704 0.8266 Nb
0.0000 0.8296 0.3266 Nb
0.0000 0.3296 0.8266 Nb
0.5000 0.0000 0.3228 Pb
0.0000 0.5000 0.3263 Pb
0.0000 0.0000 0.8263 Pb
0.5000 0.5000 0.8228 Pb
```

=====

MgNb2SbPb after structural relaxation. Source: Alexandria, functional PBE.

Computed properties:
Space-group type: P4/mmm
Spin magnetization, μB per formula unit: 0.55
Uncorrected energy, eV per cell: -24.539
Volume, Å³ per atom: 27.22

Structure (POSCAR):
```
MgNb2SbPb
1.0
-3.0101 1.4896 3.9425
-3.9961 0.1889 -3.1224
-1.0633 -4.9565 1.0609
Nb Pb Mg Sb
2 1 1 1
direct
0.0000 0.0000 0.5000 Nb
0.5000 0.0000 0.0000 Nb
0.5000 0.5000 0.5000 Pb
0.0000 0.5000 0.0000 Mg
0.0000 0.0000 0.0000 Sb
```

=====

Mg3NbPd4 after structural relaxation. Source: Alexandria, functional PBE.

Computed properties:
Formation energy, eV per atom: -0.61
Space-group type: P4/mmm
Spin magnetization, μB per formula unit: 0.00
Uncorrected energy, eV per cell: -40.481
Volume, Å³ per atom: 16.13

Structure (POSCAR):
```
Mg3NbPd4
1.0
-2.0054 -1.0238 -1.9522
0.3978 -2.7640 1.0408
-10.5723 2.1443 9.7360
Mg Pd Nb
3 4 1
direct
0.5000 0.5000 0.5000 Mg
0.5000 0.5000 0.7456 Mg
0.5000 0.5000 0.2544 Mg
0.0000 0.0000 0.8681 Pd
0.0000 0.0000 0.1319 Pd
0.0000 0.0000 0.6226 Pd
0.0000 0.0000 0.3774 Pd
0.5000 0.5000 0.0000 Nb
```

=====

MgNb2Pd6 after structural relaxation. Source: Alexandria, functional PBE.

Computed properties:
Formation energy, eV per atom: -0.30
Space-group type: C2/m
Spin magnetization, μB per formula unit: 0.00
Uncorrected energy, eV per cell: -55.555
Volume, Å³ per atom: 16.32

Structure (POSCAR):
```
MgNb2Pd6
1.0
-1.6852 1.7958 -1.3319
-4.7335 -0.0459 5.9198
7.4979 3.5355 1.1723
Nb Pd Mg
2 6 1
direct
0.8573 0.6800 0.3600 Nb
0.1427 0.3200 0.6400 Nb
0.3201 0.3427 0.3226 Pd
0.6799 0.6573 0.6774 Pd
0.3201 0.9797 0.3226 Pd
0.5001 0.6808 0.0000 Pd
0.4999 0.3192 0.0000 Pd
0.6799 0.0203 0.6774 Pd
0.0000 0.0000 0.0000 Mg
```

=====

MgNbPd after structural relaxation. Source: Alexandria, functional PBE.

Computed properties:
Formation energy, eV per atom: 0.09
Space-group type: Fmmm
Spin magnetization, μB per formula unit: 0.00
Uncorrected energy, eV per cell: -33.159
Volume, Å³ per atom: 18.65

Structure (POSCAR):
```
MgNbPd
1.0
5.2779 0.0000 0.0000
2.6389 3.6174 0.0000
2.6389 0.0000 5.8598
Pd Mg Nb
2 2 2
direct
0.3857 0.0000 0.2286 Pd
0.6143 0.0000 0.7714 Pd
0.7500 0.5000 0.5000 Mg
0.2500 0.5000 0.5000 Mg
0.1610 0.6780 0.0000 Nb
0.8390 0.3220 0.0000 Nb
```

=====

Mg2NbPd after structural relaxation. Source: Alexandria, functional PBE.

Computed properties:
Formation energy, eV per atom: 0.29
Space-group type: I-42d
Spin magnetization, μB per formula unit: 0.00
Uncorrected energy, eV per cell: -34.558
Volume, Å³ per atom: 19.24

Structure (POSCAR):
```
Mg2NbPd
1.0
7.4937 0.0000 0.0000
0.0000 7.4937 0.0000
3.7469 3.7469 2.7412
Mg Pd Nb
4 2 2
direct
0.0907 0.6250 0.2500 Mg
0.8750 0.9093 0.7500 Mg
0.6593 0.1250 0.2500 Mg
0.3750 0.3407 0.7500 Mg
0.0000 0.0000 0.0000 Pd
0.7500 0.2500 0.5000 Pd
0.2500 0.7500 0.5000 Nb
0.5000 0.5000 0.0000 Nb
```

=====

MgNb2Pd9 after structural relaxation. Source: Alexandria, functional PBE.

Computed properties:
Formation energy, eV per atom: -0.47
Space-group type: P4/mmm
Spin magnetization, μB per formula unit: 0.00
Uncorrected energy, eV per cell: -74.116
Volume, Å³ per atom: 15.68

Structure (POSCAR):
```
MgNb2Pd9
1.0
3.9674 0.0000 0.0000
0.0000 3.9674 0.0000
0.0000 0.0000 11.9519
Mg Pd Nb
1 9 2
direct
0.0000 0.0000 0.0000 Mg
0.0000 0.5000 0.5000 Pd
0.5000 0.5000 0.6631 Pd
0.5000 0.0000 0.8283 Pd
0.5000 0.5000 0.3369 Pd
0.0000 0.5000 0.1717 Pd
0.0000 0.5000 0.8283 Pd
0.5000 0.5000 0.0000 Pd
0.5000 0.0000 0.5000 Pd
0.5000 0.0000 0.1717 Pd
0.0000 0.0000 0.6735 Nb
0.0000 0.0000 0.3265 Nb
```

=====

MgNbPd5 after structural relaxation. Source: Alexandria, functional PBE.

Computed properties:
Formation energy, eV per atom: -0.39
Space-group type: P4/mmm
Spin magnetization, μB per formula unit: 0.00
Uncorrected energy, eV per cell: -40.359
Volume, Å³ per atom: 16.82

Structure (POSCAR):
```
MgNbPd5
1.0
-0.2372 3.3357 2.2334
0.3338 -2.2131 3.3409
7.2442 0.6925 -0.2650
Mg Pd Nb
1 5 1
direct
0.5000 0.5000 0.0000 Mg
0.5000 0.5000 0.5000 Pd
0.0000 0.5000 0.2391 Pd
0.5000 0.0000 0.7609 Pd
0.5000 0.0000 0.2391 Pd
0.0000 0.5000 0.7609 Pd
0.0000 0.0000 0.5000 Nb
```

=====

Mg2NbPd3 after structural relaxation. Source: Alexandria, functional PBE.

Computed properties:
Formation energy, eV per atom: -0.57
Space-group type: P4/mmm
Spin magnetization, μB per formula unit: 0.00
Uncorrected energy, eV per cell: -32.267
Volume, Å³ per atom: 16.17

Structure (POSCAR):
```
Mg2NbPd3
1.0
-1.3934 -2.1301 1.4939
-1.3224 -0.8795 -2.4876
8.4550 -6.9577 -2.0346
Pd Mg Nb
3 2 1
direct
0.0000 0.0000 0.0000 Pd
0.0000 0.0000 0.6741 Pd
0.0000 0.0000 0.3259 Pd
0.5000 0.5000 0.8384 Mg
0.5000 0.5000 0.1616 Mg
0.5000 0.5000 0.5000 Nb
```

=====

MgNbPd4 after structural relaxation. Source: Alexandria, functional PBE.

Computed properties:
Formation energy, eV per atom: -0.46
Space-group type: C2/m
Spin magnetization, μB per formula unit: 0.00
Uncorrected energy, eV per cell: -35.169
Volume, Å³ per atom: 15.95

Structure (POSCAR):
```
MgNbPd4
1.0
-0.5123 2.6629 -0.9413
-4.8865 0.4432 -0.4633
0.8195 3.8996 6.2089
Mg Pd Nb
1 4 1
direct
0.5000 0.5000 0.5000 Mg
0.6706 0.9921 0.6668 Pd
0.8349 0.4969 0.8333 Pd
0.1651 0.5031 0.1667 Pd
0.3294 0.0079 0.3332 Pd
0.0000 0.0000 0.0000 Nb
```

=====

Mg3NbPd after structural relaxation. Source: Alexandria, functional PBE.

Computed properties:
Formation energy, eV per atom: 1.33
Space-group type: Pm-3m
Spin magnetization, μB per formula unit: 3.65
Uncorrected energy, eV per cell: -13.386
Volume, Å³ per atom: 29.32

Structure (POSCAR):
```
Mg3NbPd
1.0
5.2728 0.0000 0.0000
0.0000 5.2728 0.0000
0.0000 0.0000 5.2728
Mg Pd Nb
3 1 1
direct
0.5000 0.0000 0.0000 Mg
0.0000 0.5000 0.0000 Mg
0.0000 0.0000 0.5000 Mg
0.5000 0.5000 0.5000 Pd
0.0000 0.0000 0.0000 Nb
```

=====

MgNbPd3 after structural relaxation. Source: Alexandria, functional PBE.

Computed properties:
Formation energy, eV per atom: 0.69
Space-group type: Pm-3m
Spin magnetization, μB per formula unit: 0.00
Uncorrected energy, eV per cell: -23.772
Volume, Å³ per atom: 18.59

Structure (POSCAR):
```
MgNbPd3
1.0
4.5301 0.0000 0.0000
0.0000 4.5301 0.0000
0.0000 0.0000 4.5301
Pd Mg Nb
3 1 1
direct
0.0000 0.0000 0.5000 Pd
0.5000 0.0000 0.0000 Pd
0.0000 0.5000 0.0000 Pd
0.0000 0.0000 0.0000 Mg
0.5000 0.5000 0.5000 Nb
```

=====

Mg3NbPd after structural relaxation. Source: Alexandria, functional PBE.

Computed properties:
Formation energy, eV per atom: 0.47
Space-group type: Pm-3m
Spin magnetization, μB per formula unit: 1.30
Uncorrected energy, eV per cell: -17.721
Volume, Å³ per atom: 22.27

Structure (POSCAR):
```
Mg3NbPd
1.0
-2.2455 -3.2186 2.7828
0.8067 -3.4115 -3.2949
4.1776 -1.0713 2.1320
Pd Mg Nb
1 3 1
direct
0.0000 0.0000 0.0000 Pd
0.5000 0.0000 0.0000 Mg
0.0000 0.5000 0.0000 Mg
0.0000 0.0000 0.5000 Mg
0.5000 0.5000 0.5000 Nb
```

=====

Mg4NbPd5 after structural relaxation. Source: Alexandria, functional PBE.

Computed properties:
Formation energy, eV per atom: -0.63
Space-group type: P4/mmm
Spin magnetization, μB per formula unit: 0.00
Uncorrected energy, eV per cell: -48.725
Volume, Å³ per atom: 16.13

Structure (POSCAR):
```
Mg4NbPd5
1.0
2.9876 0.0000 0.0000
0.0000 2.9876 0.0000
0.0000 0.0000 18.0698
Mg Pd Nb
4 5 1
direct
0.0000 0.0000 0.7956 Mg
0.0000 0.0000 0.5985 Mg
0.0000 0.0000 0.2044 Mg
0.0000 0.0000 0.4015 Mg
0.5000 0.5000 0.6969 Pd
0.5000 0.5000 0.5000 Pd
0.5000 0.5000 0.8938 Pd
0.5000 0.5000 0.3031 Pd
0.5000 0.5000 0.1062 Pd
0.0000 0.0000 0.0000 Nb
```

=====

Mg2NbPd after structural relaxation. Source: Alexandria, functional PBE.

Computed properties:
Formation energy, eV per atom: 0.10
Space-group type: Fm-3m
Spin magnetization, μB per formula unit: 1.30
Uncorrected energy, eV per cell: -18.055
Volume, Å³ per atom: 17.69

Structure (POSCAR):
```
Mg2NbPd
1.0
0.0000 3.2829 3.2829
3.2829 0.0000 3.2829
3.2829 3.2829 0.0000
Mg Nb Pd
2 1 1
direct
0.2500 0.2500 0.2500 Mg
0.7500 0.7500 0.7500 Mg
0.0000 0.0000 0.0000 Nb
0.5000 0.5000 0.5000 Pd
```

=====

Mg3NbPd12 after structural relaxation. Source: Alexandria, functional PBE.

Computed properties:
Formation energy, eV per atom: -0.48
Space-group type: P4/mmm
Spin magnetization, μB per formula unit: 0.00
Uncorrected energy, eV per cell: -84.900
Volume, Å³ per atom: 15.65

Structure (POSCAR):
```
Mg3NbPd12
1.0
3.9779 0.0000 0.0000
0.0000 3.9779 0.0000
0.0000 0.0000 15.8222
Pd Mg Nb
12 3 1
direct
0.5000 0.5000 0.0000 Pd
0.5000 0.0000 0.1219 Pd
0.0000 0.5000 0.8781 Pd
0.5000 0.0000 0.8781 Pd
0.0000 0.5000 0.6248 Pd
0.0000 0.5000 0.3752 Pd
0.5000 0.0000 0.6248 Pd
0.5000 0.5000 0.5000 Pd
0.5000 0.5000 0.2489 Pd
0.0000 0.5000 0.1219 Pd
0.5000 0.5000 0.7511 Pd
0.5000 0.0000 0.3752 Pd
0.0000 0.0000 0.5000 Mg
0.0000 0.0000 0.2515 Mg
0.0000 0.0000 0.7485 Mg
0.0000 0.0000 0.0000 Nb
```

=====

Mg2NbPd8 after structural relaxation. Source: Alexandria, functional PBE.

Computed properties:
Formation energy, eV per atom: -0.47
Space-group type: C2/m
Spin magnetization, μB per formula unit: 0.00
Uncorrected energy, eV per cell: -59.955
Volume, Å³ per atom: 15.78

Structure (POSCAR):
```
Mg2NbPd8
1.0
4.0320 0.0000 0.0000
0.0000 6.2999 0.3020
-2.0160 -2.3681 6.7204
Pd Nb Mg
8 1 2
direct
0.4060 0.5490 0.8120 Pd
0.9586 0.2720 0.9173 Pd
0.6792 0.9162 0.3584 Pd
0.0414 0.7280 0.0827 Pd
0.1375 0.1809 0.2749 Pd
0.8625 0.8191 0.7251 Pd
0.5940 0.4510 0.1880 Pd
0.3208 0.0838 0.6416 Pd
0.5000 0.0000 0.0000 Nb
0.2211 0.6507 0.4421 Mg
0.7789 0.3493 0.5579 Mg
```